## i
NdMg2Sn after structural relaxation, computed with GGA-PBE.

D(E_F)   9.7 states/eV per cell
Total moment   0.0 Bohr magnetons per cell

Cell lengths 3.3523, 3.3523, 34.2117 Å; angles 90.00, 90.00, 120.00 degrees
Space group R-3m (No. 166, hexagonal axes)
Asymmetric unit:
Nd 0.0000 0.0000 0.0000 [3 per cell]
Mg 0.0000 0.0000 0.0950 [6 per cell]
Sn 0.0000 0.0000 0.5000 [3 per cell]

## ii
NdMg2Sn after structural relaxation, computed with GGA-PBE.

D(E_F)   4.1 states/eV per cell
Total moment   0.0 Bohr magnetons per cell

Cell lengths 4.7769, 6.2678, 6.9485 Å; angles 90.00, 90.00, 90.00 degrees
Space group Pmmn (No. 59, origin choice 2)
Asymmetric unit:
Nd 0.2500 0.2500 0.0864 [2 per cell]
Mg 0.2500 0.5099 0.6354 [4 per cell]
Sn 0.2500 0.7500 0.2353 [2 per cell]

## iii
NdMg2Sn after structural relaxation, computed with GGA-PBE.

D(E_F)   0.9 states/eV per cell
Total moment   0.0 Bohr magnetons per cell

Cell lengths 4.5974, 4.5974, 4.8413 Å; angles 90.00, 90.00, 90.00 degrees
Space group P4/mmm (No. 123)
Asymmetric unit:
Nd 0.0000 0.0000 0.0000 [1 per cell]
Mg 0.0000 0.5000 0.5000 [2 per cell]
Sn 0.5000 0.5000 0.0000 [1 per cell]

Relative energy table, unit kJ/mol of atoms: i 52.7; ii 5.8; iii 0.0